1.
CaTlCd4 after structural relaxation. Source: Alexandria, functional PBE.

Calculated values
D(E_F), states/eV/cell: 2.73
E_form, eV/f.u.: -1.02
Calculated volume, Å³/f.u.: 155

a = 6.0356 Å, b = 6.0356 Å, c = 6.0356 Å
α = 60.00°, β = 60.00°, γ = 60.00°
Positions (direct):
Tl  0.2500  0.2500  0.2500
Cd  0.6252  0.6252  0.6252
Cd  0.6252  0.6252  0.1244
Cd  0.6252  0.1244  0.6252
Cd  0.1244  0.6252  0.6252
Ca  0.0000  0.0000  0.0000

***

2.
Li2TcPt after structural relaxation. Source: Alexandria, functional PBE.

Calculated values
D(E_F), states/eV/cell: 5.11
Energy relative to the lowest polymorph listed for this composition, meV/atom: 569
E_form, eV/f.u.: 1.77
Calculated volume, Å³/f.u.: 58

a = 6.7818 Å, b = 6.7818 Å, c = 5.4137 Å
α = 51.22°, β = 51.22°, γ = 90.00°
Positions (direct):
Pt  0.7500  0.2500  0.5000
Pt  0.0000  0.0000  0.0000
Li  0.6355  0.1250  0.2500
Li  0.3750  0.3645  0.7500
Li  0.8750  0.8855  0.7500
Li  0.1145  0.6250  0.2500
Tc  0.2500  0.7500  0.5000
Tc  0.5000  0.5000  0.0000

***

> Which of these has the highest E_form?

Li2TcPt